#one
Computed, not measured: a relaxed structure of CaPrYMg at the PBE-GGA level of DFT.

a = 3.671 Å, b = 3.671 Å, c = 9.778 Å
α = 90.00°, β = 90.00°, γ = 90.00°
Sites, in units of the cell vectors:
Ca 0.000 0.000 0.000
Pr 0.500 0.500 0.703
Y 0.000 0.000 0.449
Mg 0.500 0.500 0.234

#two
Computed, not measured: a relaxed structure of CaPrYMg at the PBE-GGA level of DFT.

a = 5.668 Å, b = 5.668 Å, c = 5.668 Å
α = 60.00°, β = 60.00°, γ = 60.00°
Sites, in units of the cell vectors:
Ca 0.000 0.000 0.000
Pr 0.250 0.250 0.250
Y 0.750 0.750 0.750
Mg 0.500 0.500 0.500

Energy above the most stable structure, in kJ/mol of atoms: #one 0.0; #two 6.1

#one
Computed, not measured: a relaxed structure of CaMg2Pt2 at the PBE-GGA level of DFT.

a = 7.884 Å, b = 7.884 Å, c = 2.994 Å
α = 90.00°, β = 90.00°, γ = 90.00°
Sites, in units of the cell vectors:
Ca 0.000 0.000 0.000
Ca 0.500 0.500 0.000
Mg 0.125 0.375 0.000
Mg 0.375 0.875 0.000
Mg 0.625 0.125 0.000
Mg 0.875 0.625 0.000
Pt 0.171 0.671 0.500
Pt 0.329 0.171 0.500
Pt 0.671 0.829 0.500
Pt 0.829 0.329 0.500

#two
Computed, not measured: a relaxed structure of CaMg2Pt2 at the PBE-GGA level of DFT.

a = 6.667 Å, b = 6.667 Å, c = 6.667 Å
α = 143.44°, β = 143.44°, γ = 52.66°
Sites, in units of the cell vectors:
Ca 0.000 0.000 0.000
Mg 0.250 0.750 0.500
Mg 0.750 0.250 0.500
Pt 0.390 0.390 0.000
Pt 0.610 0.610 0.000

Energy above the most stable structure, in kJ/mol of atoms: #one 2.6; #two 0.0

#one
Computed, not measured: a relaxed structure of RbCaMg2 at the PBE-GGA level of DFT.

a = 7.694 Å, b = 7.694 Å, c = 7.694 Å
α = 103.14°, β = 103.14°, γ = 123.05°
Sites, in units of the cell vectors:
Rb 0.000 0.000 0.000
Rb 0.750 0.250 0.500
Ca 0.250 0.750 0.500
Ca 0.500 0.500 0.000
Mg 0.148 0.625 0.023
Mg 0.375 0.398 0.523
Mg 0.602 0.125 0.977
Mg 0.875 0.852 0.477

#two
Computed, not measured: a relaxed structure of RbCaMg2 at the PBE-GGA level of DFT.

a = 6.013 Å, b = 6.013 Å, c = 6.013 Å
α = 60.00°, β = 60.00°, γ = 60.00°
Sites, in units of the cell vectors:
Rb 0.000 0.000 0.000
Ca 0.500 0.500 0.500
Mg 0.250 0.250 0.250
Mg 0.750 0.750 0.750

Energy above the most stable structure, in kJ/mol of atoms: #one 15.7; #two 0.0

#one
Computed, not measured: a relaxed structure of RbCa2Mg2 at the PBE-GGA level of DFT.

a = 10.218 Å, b = 10.218 Å, c = 3.732 Å
α = 90.00°, β = 90.00°, γ = 90.00°
Sites, in units of the cell vectors:
Rb 0.000 0.000 0.000
Rb 0.500 0.500 0.000
Ca 0.127 0.373 0.000
Ca 0.373 0.873 0.000
Ca 0.627 0.127 0.000
Ca 0.873 0.627 0.000
Mg 0.163 0.663 0.500
Mg 0.337 0.163 0.500
Mg 0.663 0.837 0.500
Mg 0.837 0.337 0.500

#two
Computed, not measured: a relaxed structure of RbCa2Mg2 at the PBE-GGA level of DFT.

a = 12.923 Å, b = 12.923 Å, c = 12.923 Å
α = 161.22°, β = 161.22°, γ = 26.68°
Sites, in units of the cell vectors:
Rb 0.000 0.000 0.000
Ca 0.360 0.360 0.000
Ca 0.640 0.640 0.000
Mg 0.250 0.750 0.500
Mg 0.750 0.250 0.500

Energy above the most stable structure, in kJ/mol of atoms: #one 0.0; #two 10.5

#one
Computed, not measured: a relaxed structure of RbCa3Mg at the PBE-GGA level of DFT.

a = 6.329 Å, b = 6.329 Å, c = 6.329 Å
α = 90.00°, β = 90.00°, γ = 90.00°
Sites, in units of the cell vectors:
Rb 0.000 0.000 0.000
Ca 0.000 0.500 0.500
Ca 0.500 0.000 0.500
Ca 0.500 0.500 0.000
Mg 0.500 0.500 0.500

#two
Computed, not measured: a relaxed structure of RbCa3Mg at the PBE-GGA level of DFT.

a = 6.244 Å, b = 6.244 Å, c = 6.244 Å
α = 90.00°, β = 90.00°, γ = 90.00°
Sites, in units of the cell vectors:
Rb 0.000 0.000 0.000
Ca 0.000 0.000 0.500
Ca 0.000 0.500 0.000
Ca 0.500 0.000 0.000
Mg 0.500 0.500 0.500

Energy above the most stable structure, in kJ/mol of atoms: #one 0.0; #two 76.7

#one
Computed, not measured: a relaxed structure of RbCaMg3 at the PBE-GGA level of DFT.

a = 6.300 Å, b = 6.300 Å, c = 6.300 Å
α = 90.00°, β = 90.00°, γ = 90.00°
Sites, in units of the cell vectors:
Rb 0.000 0.000 0.000
Ca 0.500 0.500 0.500
Mg 0.000 0.500 0.500
Mg 0.500 0.000 0.500
Mg 0.500 0.500 0.000

#two
Computed, not measured: a relaxed structure of RbCaMg3 at the PBE-GGA level of DFT.

a = 6.132 Å, b = 6.132 Å, c = 6.132 Å
α = 90.00°, β = 90.00°, γ = 90.00°
Sites, in units of the cell vectors:
Rb 0.000 0.000 0.000
Ca 0.500 0.500 0.500
Mg 0.000 0.000 0.500
Mg 0.000 0.500 0.000
Mg 0.500 0.000 0.000

Energy above the most stable structure, in kJ/mol of atoms: #one 0.0; #two 32.1